## DyTaTc2 (PBE-GGA)

Data for an optimized crystal structure of DyTaTc2.

Unit cell a=3.263 b=3.263 c=6.773 alpha=90.00 beta=90.00 gamma=90.00
Element x y z (fractional)
Dy: 0.000 0.000 0.000
Ta: 0.000 0.000 0.500
Tc: 0.500 0.500 0.278
Tc: 0.500 0.500 0.722

VASP energy, eV/atom: -9.45
Formation enthalpy at 0 K, eV/atom: -0.156